The following is a DFT calculation (PBE) of crystalline KPa2FeN4 at its relaxed geometry.

The structure in extended XYZ format:
```
8
Lattice="-2.914 2.914 3.817 2.914 -2.914 3.817 2.914 2.914 -3.817" Properties=species:S:1:pos:R:3 pbc="T T T"
K 0.000 0.000 0.000
Pa 2.914 0.000 1.909
Pa 0.000 2.914 1.909
Fe 0.000 0.000 3.817
N 1.783 1.783 -1.230
N 1.132 -1.132 5.048
N 1.132 1.132 2.587
N -1.132 1.132 5.048
```

Output
magnetic moment: 4.27 μB per formula unit
E_tot: -8.41 eV per atom


The following is a DFT calculation (PBE) of crystalline KFePdN at its relaxed geometry.

The structure in extended XYZ format:
```
8
Lattice="3.521 0.000 0.000 0.000 3.521 0.000 0.000 0.000 11.425" Properties=species:S:1:pos:R:3 pbc="T T T"
K 0.880 0.880 2.840
K 2.641 2.641 8.585
Fe 0.880 2.641 5.713
Fe 2.641 0.880 5.713
Pd 0.880 2.641 0.000
Pd 2.641 0.880 0.000
N 0.880 0.880 6.516
N 2.641 2.641 4.909
```

Output
magnetic moment: 0.00 μB per formula unit
E_tot: -5.75 eV per atom


The calculation returns the following formation energy without anion corrections values, one per record and in order: -0.6803; 0.0171 eV per atom.